This record from Alexandria describes a relaxed Mg2SbH crystal. The functional is PBE.

```
Mg2SbH
1.0
-4.365 1.341 -2.630
2.453 -0.964 -4.563
-2.835 -5.535 -3.397
Sb Mg H
2 4 2
Cartesian
0.000 0.000 0.000
-4.078 -2.003 -4.811
-2.581 -0.835 -2.732
-0.271 -1.650 -4.361
-2.534 -4.132 -5.820
-4.109 -3.700 -8.267
-0.956 0.188 -3.596
-0.669 -3.156 -5.778
```

Results
SG	I-42d

---

This record from Alexandria describes a relaxed MgSbH crystal. The functional is PBE.

```
MgSbH
1.0
6.244 0.000 0.093
0.000 3.176 0.000
-2.938 0.000 5.494
Mg Sb H
2 2 2
Cartesian
0.000 1.588 0.000
3.122 0.000 0.047
-0.020 0.000 2.579
3.327 0.000 3.008
1.907 1.588 0.040
1.399 1.588 5.547
```

Results
SG	P2/m

---

This record from Alexandria describes a relaxed MgSbH2 crystal. The functional is PBE.

```
MgSbH2
1.0
1.452 1.809 3.527
-2.533 0.429 3.349
0.655 -2.336 3.455
Sb Mg H
1 1 2
Cartesian
-0.213 -0.049 5.165
0.000 0.000 0.000
-0.106 -0.024 2.583
-0.319 -0.073 7.748
```

Results
SG	Fm-3m

---

This record from Alexandria describes a relaxed MgSbH3 crystal. The functional is PBE.

```
MgSbH3
1.0
-3.407 0.314 1.774
-0.971 -3.516 -1.243
1.517 -1.546 3.187
Sb Mg H
1 1 3
Cartesian
-1.431 -2.374 1.859
0.000 0.000 0.000
-0.486 -1.758 -0.621
0.759 -0.773 1.594
-1.703 0.157 0.887
```

Results
SG	Pm-3m

---

This record from Alexandria describes a relaxed Mg3SbH2 crystal. The functional is PBE.

```
Mg3SbH2
1.0
3.249 0.000 0.000
0.000 6.473 0.818
-1.624 -0.460 10.482
Mg Sb H
6 2 4
Cartesian
0.000 1.677 5.038
0.000 4.360 2.272
0.000 4.203 10.027
1.624 4.335 6.261
1.624 1.809 1.272
1.624 1.652 9.028
0.000 -0.112 7.292
1.624 6.124 4.007
0.000 3.383 6.439
1.624 2.629 4.860
1.624 4.767 11.004
0.000 1.246 0.295
```

Results
SG	C2/m

---

This record from Alexandria describes a relaxed MgSbH crystal. The functional is PBE.

```
MgSbH
1.0
-4.253 0.999 2.440
4.859 -7.544 -0.310
4.454 1.106 1.952
Mg Sb H
2 2 2
Cartesian
-0.600 -1.310 2.226
5.661 -4.130 1.856
5.257 -1.005 1.805
-0.197 -4.434 2.276
4.096 -6.768 0.982
0.965 1.329 3.100
```

Results
SG	P-1

---

This record from Alexandria describes a relaxed MgSbH crystal. The functional is PBE.

```
MgSbH
1.0
-0.351 -2.476 1.887
4.596 2.094 3.603
-3.739 2.887 3.092
Mg Sb H
2 2 2
Cartesian
-0.991 -0.609 1.617
1.541 1.632 2.428
-0.330 3.075 3.974
-2.651 2.047 2.192
2.294 0.814 4.096
0.440 -0.031 2.643
```

Results
SG	Pmm2

---

This record from Alexandria describes a relaxed Mg2SbH crystal. The functional is PBE.

```
Mg2SbH
1.0
-4.445 -1.069 3.171
-0.140 -4.187 -1.615
5.916 -1.681 3.843
Mg Sb H
4 2 2
Cartesian
-2.366 -4.786 1.412
1.967 -3.478 4.252
1.045 -4.710 1.284
-0.547 -1.962 0.188
3.501 -5.300 2.605
-0.489 -2.887 2.931
0.892 -3.753 -0.326
-3.777 -2.173 2.241
```

Results
SG	P1

---

This record from Alexandria describes a relaxed Mg3SbH3 crystal. The functional is PBE.

```
Mg3SbH3
1.0
-5.568 0.644 4.071
-4.673 -5.105 0.311
-0.604 -3.803 5.670
Mg Sb H
6 2 6
Cartesian
-4.048 -3.986 2.630
-6.234 -1.522 5.445
-7.769 -5.416 4.327
-3.075 -2.847 5.724
-4.610 -6.741 4.606
-6.796 -4.278 7.421
-4.078 -5.239 7.039
-6.766 -3.024 3.013
-6.508 -6.682 5.044
-6.144 -2.465 7.120
-2.816 -3.904 4.107
-8.028 -4.359 5.944
-4.700 -5.798 2.931
-4.335 -1.581 5.008
```

Results
SG	R-3

---

This record from Alexandria describes a relaxed Mg3SbH crystal. The functional is PBE.

```
Mg3SbH
1.0
-2.273 -3.731 0.261
3.625 2.146 -5.473
5.883 -5.202 5.268
Mg Sb H
6 2 2
Cartesian
4.159 -2.619 1.490
0.518 -2.193 -1.442
2.335 -2.137 -4.023
3.076 -4.168 -1.434
4.900 -4.650 4.079
6.717 -4.594 1.498
5.785 -3.269 -0.898
1.450 -3.518 0.954
4.901 -4.341 2.189
2.334 -2.446 -2.133
```

Results
SG	P-1

---

This record from Alexandria describes a relaxed MgSbH2 crystal. The functional is PBE.

```
MgSbH2
1.0
-2.803 0.163 4.408
-3.776 -2.789 -2.297
-1.345 -5.078 2.431
Sb Mg H
2 2 4
Cartesian
0.000 0.000 0.000
-3.719 -3.114 3.947
-3.289 -1.313 1.055
-4.205 -4.590 0.594
-2.168 -1.539 2.459
-3.439 -2.969 0.340
-4.004 -5.184 2.293
-6.236 -5.716 3.991
```

Results
SG	I-42d

---

This record from Alexandria describes a relaxed MgSbH crystal. The functional is PBE.

```
MgSbH
1.0
5.641 0.000 0.000
0.000 4.128 0.000
0.000 0.000 4.639
Mg Sb H
2 2 2
Cartesian
2.821 0.000 0.345
2.821 2.064 2.665
0.000 0.000 1.115
0.000 2.064 3.434
2.821 0.000 3.060
2.821 2.064 0.740
```

Results
SG	Amm2

---

no.,electronic total energy (eV/atom),total moment (μB/cell)
1,-2.741,0.00
2,-3.180,0.00
3,-2.587,0.00
4,-2.716,0.00
5,-2.693,0.00
6,-3.041,0.00
7,-3.144,0.00
8,-2.930,0.00
9,-2.866,0.00
10,-2.586,0.00
11,-2.868,0.00
12,-3.122,0.00